The following is a DFT calculation (PBE) of crystalline Tm3ScTl3S8 at its relaxed geometry.

The raw formation energy is -141.7 kJ/mol of atoms. The total moment is 0.000 μB per atom. The crystal system is monoclinic.

The space group is C2/m (No. 12) and the conventional cell measures 13.589, 7.845 and 8.651 Å, with angles of 90.00, 121.63 and 90.00 degrees. The asymmetric unit holds Tm at (0.000, 0.000, 0.000), Tm at (0.250, 0.250, 0.000), Sc at (0.000, 0.500, 0.000), Tl at (0.000, 0.500, 0.500), Tl at (0.250, 0.250, 0.500), S at (0.016, 0.258, 0.806), S at (0.226, 0.500, 0.194) and S at (0.233, 0.000, 0.200).

The following is a DFT calculation (PBE) of crystalline TmSc2Tl3S6 at its relaxed geometry.

The raw formation energy is -135.7 kJ/mol of atoms. The total moment is 0.000 μB per atom. The crystal system is monoclinic.

The space group is C2/m (No. 12) and the conventional cell measures 6.696, 11.593 and 7.820 Å, with angles of 90.00, 106.57 and 90.00 degrees. The asymmetric unit holds Tm at (0.000, 0.000, 0.000), Sc at (0.000, 0.333, 0.000), Tl at (0.000, 0.165, 0.500), Tl at (0.000, 0.500, 0.500), S at (0.220, 0.500, 0.189) and S at (0.235, 0.172, 0.191).

The following is a DFT calculation (PBE) of crystalline TmScTl2S4 at its relaxed geometry.

The raw formation energy is -137.3 kJ/mol of atoms. The total moment is 0.000 μB per atom. The crystal system is monoclinic.

The space group is P2/m (No. 10) and the conventional cell measures 6.741, 3.895 and 7.833 Å, with angles of 90.00, 106.66 and 90.00 degrees. The asymmetric unit holds Tm at (0.000, 0.000, 0.000), Sc at (0.500, 0.500, 0.000), Tl at (0.000, 0.500, 0.500), Tl at (0.500, 0.000, 0.500), S at (0.240, 0.500, 0.194) and S at (0.278, 0.000, 0.810).

The following is a DFT calculation (PBE) of crystalline Tm2ScTl3S6 at its relaxed geometry.

The raw formation energy is -139.5 kJ/mol of atoms. The total moment is 0.000 μB per atom. The crystal system is monoclinic.

The space group is C2/m (No. 12) and the conventional cell measures 6.792, 11.760 and 7.844 Å, with angles of 90.00, 106.77 and 90.00 degrees. The asymmetric unit holds Tm at (0.000, 0.167, 0.000), Sc at (0.000, 0.500, 0.000), Tl at (0.000, 0.000, 0.500), Tl at (0.000, 0.332, 0.500), S at (0.226, 0.338, 0.192) and S at (0.241, 0.000, 0.194).

Question: raw formation energy of number 4 (Tm2ScTl3S6)?
Answer: -139.5 kJ/mol of atoms

Question: Which formula does entry 3 have?
Answer: TmScTl2S4